Record 1
Material: Tb5PmNd4
Method: DFT, PBE-GGA
State: relaxed

Structure (CIF):
```
data_Tb5PmNd4
_chemical_formula_sum 'Tb10 Pm2 Nd8'
_cell_length_a 10.731
_cell_length_b 10.731
_cell_length_c 5.836
_cell_angle_alpha 90.00
_cell_angle_beta 90.00
_cell_angle_gamma 90.00
_symmetry_space_group_name_H-M 'P 4/n m m'
_symmetry_Int_Tables_number 129
loop_
_symmetry_equiv_pos_as_xyz
'x,y,z'
'-x,-y,-z'
'-y+1/2,x,z'
'y+1/2,-x,-z'
'-x+1/2,-y+1/2,z'
'x+1/2,y+1/2,-z'
'y,-x+1/2,z'
'-y,x+1/2,-z'
'x+1/2,-y,-z'
'-x+1/2,y,z'
'-y,-x,-z'
'y,x,z'
'-x,y+1/2,-z'
'x,-y+1/2,z'
'y+1/2,x+1/2,-z'
'-y+1/2,-x+1/2,z'
loop_
_atom_site_label
_atom_site_type_symbol
_atom_site_fract_x
_atom_site_fract_y
_atom_site_fract_z
Tb1 Tb 0.087 0.087 0.166
Tb2 Tb 0.250 0.750 0.000
Pm1 Pm 0.250 0.250 0.621
Nd1 Nd 0.043 0.750 0.367
```

## Properties
* VASP energy: -4.51 eV per atom
* D(E_F): 22.85 states/eV per cell
* crystal system: tetragonal
* distance to the lowest polymorph of the same formula: 38 meV per atom
* formation energy: 0.188 eV per atom

Record 2
Material: ErSc4
Method: DFT, PBE-GGA
State: relaxed

Structure (CIF):
```
data_ErSc4
_chemical_formula_sum 'Er2 Sc8'
_cell_length_a 4.180
_cell_length_b 4.180
_cell_length_c 15.599
_cell_angle_alpha 90.00
_cell_angle_beta 90.00
_cell_angle_gamma 90.00
_symmetry_space_group_name_H-M 'I 4 m m'
_symmetry_Int_Tables_number 107
_symmetry_space_group_name_Hall 'I 4 -2'
loop_
_atom_site_label
_atom_site_type_symbol
_atom_site_fract_x
_atom_site_fract_y
_atom_site_fract_z
Er1 Er 0.000 0.000 0.000
Sc1 Sc 0.000 0.000 0.404
Sc2 Sc 0.000 0.000 0.595
Sc3 Sc 0.000 0.500 0.250
```

## Properties
* VASP energy: -5.63 eV per atom
* D(E_F): 16.48 states/eV per cell
* crystal system: tetragonal
* distance to the lowest polymorph of the same formula: 293 meV per atom
* formation energy: 0.344 eV per atom

Record 3
Material: LiNd2Ni3H12
Method: DFT, PBE-GGA
State: relaxed

Structure (CIF):
```
data_LiNd2Ni3H12
_chemical_formula_sum 'Li3 Nd6 Ni9 H36'
_cell_length_a 5.9050
_cell_length_b 5.9050
_cell_length_c 14.6702
_cell_angle_alpha 90.00
_cell_angle_beta 90.00
_cell_angle_gamma 120.00
_symmetry_space_group_name_H-M 'R -3 m'
_symmetry_Int_Tables_number 166
_symmetry_space_group_name_Hall '-R 3 2"'
loop_
_atom_site_label
_atom_site_type_symbol
_atom_site_fract_x
_atom_site_fract_y
_atom_site_fract_z
Li1 Li 0.0000 0.0000 0.0000
Nd1 Nd 0.0000 0.0000 0.3856
Ni1 Ni 0.0000 0.5000 0.5000
H1 H 0.0059 0.5029 0.3901
H2 H 0.0400 0.5200 0.8279
```

## Properties
* VASP energy: -4.09 eV per atom
* D(E_F): 21.73 states/eV per cell
* crystal system: trigonal

Record 4
Material: PmYF6
Method: DFT, PBE-GGA
State: relaxed

Structure (CIF):
```
data_PmYF6
_chemical_formula_sum 'Pm1 Y1 F6'
_cell_length_a 5.919
_cell_length_b 5.925
_cell_length_c 6.351
_cell_angle_alpha 62.31
_cell_angle_beta 62.27
_cell_angle_gamma 60.10
_symmetry_space_group_name_H-M 'P -1'
_symmetry_Int_Tables_number 2
loop_
_symmetry_equiv_pos_as_xyz
'x,y,z'
'-x,-y,-z'
loop_
_atom_site_label
_atom_site_type_symbol
_atom_site_fract_x
_atom_site_fract_y
_atom_site_fract_z
Pm1 Pm 0.000 0.000 0.000
Y1 Y 0.500 0.500 0.500
F1 F 0.168 0.341 0.746
F2 F 0.254 0.832 0.255
F3 F 0.341 0.746 0.745
```

## Properties
* VASP energy: -6.87 eV per atom
* D(E_F): 0.00 states/eV per cell
* crystal system: triclinic
* energy relative to the elements, uncorrected: -4065 meV/atom

Record 5
Material: Pm6BCl12
Method: DFT, PBE-GGA
State: relaxed

Structure (CIF):
```
data_Pm6BCl12
_chemical_formula_sum 'Pm18 B3 Cl36'
_cell_length_a 9.8821
_cell_length_b 9.8821
_cell_length_c 17.3107
_cell_angle_alpha 90.00
_cell_angle_beta 90.00
_cell_angle_gamma 120.00
_symmetry_space_group_name_H-M 'R -3 m'
_symmetry_Int_Tables_number 166
_symmetry_space_group_name_Hall '-R 3 2"'
loop_
_atom_site_label
_atom_site_type_symbol
_atom_site_fract_x
_atom_site_fract_y
_atom_site_fract_z
Pm1 Pm 0.0516 0.5258 0.2491
B1 B 0.0000 0.0000 0.5000
Cl1 Cl 0.0342 0.5171 0.9068
Cl2 Cl 0.0823 0.5412 0.5930
```

## Properties
* VASP energy: -4.81 eV per atom
* D(E_F): 14.90 states/eV per cell
* crystal system: trigonal
* energy relative to the elements, uncorrected: -1794 meV/atom

Record 6
Material: PrTh4In5
Method: DFT, PBE-GGA
State: relaxed

Structure (CIF):
```
data_PrTh4In5
_chemical_formula_sum 'Pr1 Th4 In5'
_cell_length_a 3.531
_cell_length_b 3.531
_cell_length_c 23.046
_cell_angle_alpha 90.00
_cell_angle_beta 90.00
_cell_angle_gamma 90.00
_symmetry_space_group_name_H-M 'P 4/m m m'
_symmetry_Int_Tables_number 123
_symmetry_space_group_name_Hall '-P 4 2'
loop_
_atom_site_label
_atom_site_type_symbol
_atom_site_fract_x
_atom_site_fract_y
_atom_site_fract_z
Pr1 Pr 0.000 0.000 0.000
Th1 Th 0.000 0.000 0.200
Th2 Th 0.000 0.000 0.400
In1 In 0.500 0.500 0.100
In2 In 0.500 0.500 0.300
In3 In 0.500 0.500 0.500
```

## Properties
* VASP energy: -5.14 eV per atom
* D(E_F): 12.28 states/eV per cell
* crystal system: tetragonal
* formation energy: -0.323 eV per atom

Record 7
Material: Cs2Ge2As
Method: DFT, PBE-GGA
State: relaxed

Structure (CIF):
```
data_Cs2Ge2As
_chemical_formula_sum 'Cs8 Ge8 As4'
_cell_length_a 8.039
_cell_length_b 13.265
_cell_length_c 8.680
_cell_angle_alpha 90.00
_cell_angle_beta 113.63
_cell_angle_gamma 90.00
_symmetry_space_group_name_H-M 'C 1 2/m 1'
_symmetry_Int_Tables_number 12
loop_
_symmetry_equiv_pos_as_xyz
'x,y,z'
'-x,-y,-z'
'-x,y,-z'
'x,-y,z'
'x+1/2,y+1/2,z'
'-x+1/2,-y+1/2,-z'
'-x+1/2,y+1/2,-z'
'x+1/2,-y+1/2,z'
loop_
_atom_site_label
_atom_site_type_symbol
_atom_site_fract_x
_atom_site_fract_y
_atom_site_fract_z
Cs1 Cs 0.210 0.153 0.270
Ge1 Ge 0.138 0.500 0.298
Ge2 Ge 0.232 0.000 0.914
As1 As 0.000 0.375 0.000
```

## Properties
* VASP energy: -3.21 eV per atom
* D(E_F): 5.72 states/eV per cell
* crystal system: monoclinic
* distance to the lowest polymorph of the same formula: 0 meV per atom
* formation energy: -0.093 eV per atom

Record 8
Material: ThBPt6
Method: DFT, PBE-GGA
State: relaxed

Structure (CIF):
```
data_ThBPt6
_chemical_formula_sum 'Th3 B3 Pt18'
_cell_length_a 5.5841
_cell_length_b 5.5841
_cell_length_c 15.8843
_cell_angle_alpha 90.00
_cell_angle_beta 90.00
_cell_angle_gamma 120.00
_symmetry_space_group_name_H-M 'R -3 m'
_symmetry_Int_Tables_number 166
_symmetry_space_group_name_Hall '-R 3 2"'
loop_
_atom_site_label
_atom_site_type_symbol
_atom_site_fract_x
_atom_site_fract_y
_atom_site_fract_z
Th1 Th 0.0000 0.0000 0.0000
B1 B 0.0000 0.0000 0.5000
Pt1 Pt 0.0106 0.5053 0.9136
```

## Properties
* VASP energy: -6.94 eV per atom
* D(E_F): 8.50 states/eV per cell
* crystal system: trigonal
* formation energy: -0.648 eV per atom

Record 9
Material: BaLiSb
Method: DFT, PBE-GGA
State: relaxed

Structure (CIF):
```
data_BaLiSb
_chemical_formula_sum 'Ba2 Li2 Sb2'
_cell_length_a 4.976
_cell_length_b 4.976
_cell_length_c 7.648
_cell_angle_alpha 90.00
_cell_angle_beta 90.00
_cell_angle_gamma 90.00
_symmetry_space_group_name_H-M 'P 4/n m m'
_symmetry_Int_Tables_number 129
loop_
_symmetry_equiv_pos_as_xyz
'x,y,z'
'-x,-y,-z'
'-y+1/2,x,z'
'y+1/2,-x,-z'
'-x+1/2,-y+1/2,z'
'x+1/2,y+1/2,-z'
'y,-x+1/2,z'
'-y,x+1/2,-z'
'x+1/2,-y,-z'
'-x+1/2,y,z'
'-y,-x,-z'
'y,x,z'
'-x,y+1/2,-z'
'x,-y+1/2,z'
'y+1/2,x+1/2,-z'
'-y+1/2,-x+1/2,z'
loop_
_atom_site_label
_atom_site_type_symbol
_atom_site_fract_x
_atom_site_fract_y
_atom_site_fract_z
Ba1 Ba 0.250 0.250 0.187
Li1 Li 0.250 0.750 0.500
Sb1 Sb 0.250 0.250 0.708
```

## Properties
* VASP energy: -3.60 eV per atom
* D(E_F): 0.29 states/eV per cell
* crystal system: tetragonal
* energy relative to the elements, uncorrected: -946 meV/atom

Record 10
Material: GeBi2Pd
Method: DFT, PBE-GGA
State: relaxed

Structure (CIF):
```
data_GeBi2Pd
_chemical_formula_sum 'Ge3 Bi6 Pd3'
_cell_length_a 3.3208
_cell_length_b 3.3208
_cell_length_c 32.1552
_cell_angle_alpha 90.00
_cell_angle_beta 90.00
_cell_angle_gamma 120.00
_symmetry_space_group_name_H-M 'R -3 m'
_symmetry_Int_Tables_number 166
_symmetry_space_group_name_Hall '-R 3 2"'
loop_
_atom_site_label
_atom_site_type_symbol
_atom_site_fract_x
_atom_site_fract_y
_atom_site_fract_z
Ge1 Ge 0.0000 0.0000 0.0000
Bi1 Bi 0.0000 0.0000 0.4160
Pd1 Pd 0.0000 0.0000 0.5000
```

## Properties
* VASP energy: -4.08 eV per atom
* D(E_F): 7.53 states/eV per cell
* crystal system: trigonal
* formation energy: 0.313 eV per atom

Which value of D(E_F) does entry 1 give? 22.85 states/eV per cell

D(E_F) of number 2 (ErSc4)? 16.48 states/eV per cell

Please write out number 6 again, unchanged.
Material: PrTh4In5
Method: DFT, PBE-GGA
State: relaxed

Structure (CIF):
```
data_PrTh4In5
_chemical_formula_sum 'Pr1 Th4 In5'
_cell_length_a 3.531
_cell_length_b 3.531
_cell_length_c 23.046
_cell_angle_alpha 90.00
_cell_angle_beta 90.00
_cell_angle_gamma 90.00
_symmetry_space_group_name_H-M 'P 4/m m m'
_symmetry_Int_Tables_number 123
_symmetry_space_group_name_Hall '-P 4 2'
loop_
_atom_site_label
_atom_site_type_symbol
_atom_site_fract_x
_atom_site_fract_y
_atom_site_fract_z
Pr1 Pr 0.000 0.000 0.000
Th1 Th 0.000 0.000 0.200
Th2 Th 0.000 0.000 0.400
In1 In 0.500 0.500 0.100
In2 In 0.500 0.500 0.300
In3 In 0.500 0.500 0.500
```

## Properties
* VASP energy: -5.14 eV per atom
* D(E_F): 12.28 states/eV per cell
* crystal system: tetragonal
* formation energy: -0.323 eV per atom

Which value of VASP energy does entry 4 give? -6.87 eV per atom